No. 1
A relaxed structure of Sc2CoPb. Source: Alexandria, functional PBE-GGA.

Results
DFT formation energy   -0.77 eV/f.u.
Fermi-level density of states   3.173 states/eV/cell

Cell lengths 6.0238, 6.0238, 6.0238 Å; angles 148.50, 134.41, 56.46 degrees
Atoms (fractional coordinates):
1 Sc 0.0000 0.0000 0.0000
2 Sc 0.6980 0.1980 0.5000
3 Co 0.1920 0.6920 0.5000
4 Pb 0.4049 0.4049 0.0000


No. 2
A relaxed structure of Ac4ZnRu2. Source: Alexandria, functional PBE-GGA.

Results
DFT formation energy   -0.93 eV/f.u.
Fermi-level density of states   5.010 states/eV/cell

Cell lengths 10.3469, 10.3469, 10.3469 Å; angles 28.14, 28.14, 28.14 degrees
Atoms (fractional coordinates):
1 Ac 0.1175 0.1175 0.1175
2 Ac 0.2944 0.2944 0.2944
3 Ac 0.7056 0.7056 0.7056
4 Ac 0.8825 0.8825 0.8825
5 Zn 0.5000 0.5000 0.5000
6 Ru 0.4125 0.4125 0.4125
7 Ru 0.5875 0.5875 0.5875


No. 3
A relaxed structure of BeCdHgGe2. Source: Alexandria, functional PBE-GGA.

Results
DFT formation energy   6.03 eV/f.u.
Fermi-level density of states   2.223 states/eV/cell

Cell lengths 5.2289, 5.2289, 5.2892 Å; angles 90.00, 90.00, 90.00 degrees
Atoms (fractional coordinates):
1 Be 0.0000 0.0000 0.0000
2 Cd 0.5000 0.5000 0.0000
3 Hg 0.5000 0.5000 0.5000
4 Ge 0.0000 0.5000 0.5000
5 Ge 0.5000 0.0000 0.5000


No. 4
A relaxed structure of Sr2CeHfO6. Source: Alexandria, functional PBE-GGA.

Results
Fermi-level density of states   0.000 states/eV/cell
Formation energy (no corrections)   -3280 meV/atom

Cell lengths 5.9218, 6.0314, 10.2898 Å; angles 90.00, 124.95, 90.00 degrees
Atoms (fractional coordinates):
1 Sr 0.2399 0.0403 0.2504
2 Sr 0.2399 0.4597 0.7504
3 Sr 0.7601 0.5403 0.2496
4 Sr 0.7601 0.9597 0.7496
5 Ce 0.5000 0.0000 0.0000
6 Ce 0.5000 0.5000 0.5000
7 Hf 0.0000 0.0000 0.5000
8 Hf 0.0000 0.5000 0.0000
9 O 0.1474 0.2171 0.9501
10 O 0.1474 0.2829 0.4501
11 O 0.2358 0.6998 0.9531
12 O 0.2358 0.8002 0.4531
13 O 0.3307 0.0309 0.7401
14 O 0.3307 0.4691 0.2401
15 O 0.6693 0.5309 0.7599
16 O 0.6693 0.9691 0.2599
17 O 0.7642 0.1998 0.5469
18 O 0.7642 0.3002 0.0469
19 O 0.8526 0.7171 0.5499
20 O 0.8526 0.7829 0.0499